V2GeTe: relaxed, GGA-PBE.

DOS at the Fermi energy   1.00 states/eV/atom
DFT total energy   -0.46804 Ry/atom
Energy relative to the lowest polymorph listed for this composition   0.00 kcal/mol of atoms
Crystal system   cubic
Magnetic moment   0.00 Bohr magnetons per cell
Formation energy without anion corrections   0.131 eV/atom

```
data_V2GeTe
_symmetry_space_group_name_H-M 'F m -3 m'
_symmetry_Int_Tables_number 225
_symmetry_space_group_name_Hall '-F 4 2 3'
_cell_length_a 6.378
_cell_length_b 6.378
_cell_length_c 6.378
_cell_angle_alpha 90.00
_cell_angle_beta 90.00
_cell_angle_gamma 90.00
loop_
_atom_site_label
_atom_site_type_symbol
_atom_site_fract_x
_atom_site_fract_y
_atom_site_fract_z
V1 V 0.250 0.250 0.250
Ge1 Ge 0.000 0.000 0.000
Te1 Te 0.000 0.000 0.500
```

=====

VGeTe2: relaxed, GGA-PBE.

DOS at the Fermi energy   0.74 states/eV/atom
DFT total energy   -0.36756 Ry/atom
Crystal system   trigonal
Magnetic moment   0.90 Bohr magnetons per cell
Formation energy without anion corrections   0.004 eV/atom

```
data_VGeTe2
_symmetry_space_group_name_H-M 'R -3 m'
_symmetry_Int_Tables_number 166
_symmetry_space_group_name_Hall '-R 3 2"'
_cell_length_a 3.4871
_cell_length_b 3.4871
_cell_length_c 28.5639
_cell_angle_alpha 90.00
_cell_angle_beta 90.00
_cell_angle_gamma 120.00
loop_
_atom_site_label
_atom_site_type_symbol
_atom_site_fract_x
_atom_site_fract_y
_atom_site_fract_z
V1 V 0.0000 0.0000 0.0000
Ge1 Ge 0.0000 0.0000 0.5000
Te1 Te 0.0000 0.0000 0.3948
```

=====

VGeTe4: relaxed, GGA-PBE.

DOS at the Fermi energy   0.92 states/eV/atom
DFT total energy   -0.32133 Ry/atom
Crystal system   monoclinic
Magnetic moment   5.46 Bohr magnetons per cell
Formation energy without anion corrections   0.012 eV/atom

```
data_VGeTe4
_symmetry_space_group_name_H-M 'C 1 2/m 1'
_symmetry_Int_Tables_number 12
_symmetry_space_group_name_Hall '-C 2y'
_cell_length_a 18.180
_cell_length_b 5.408
_cell_length_c 8.391
_cell_angle_alpha 90.00
_cell_angle_beta 100.49
_cell_angle_gamma 90.00
loop_
_atom_site_label
_atom_site_type_symbol
_atom_site_fract_x
_atom_site_fract_y
_atom_site_fract_z
V1 V 0.215 0.000 0.297
Ge1 Ge 0.127 0.000 0.661
Te1 Te 0.069 0.000 0.343
Te2 Te 0.122 0.000 0.019
Te3 Te 0.147 0.500 0.790
Te4 Te 0.227 0.500 0.367
```

=====

GeTe3W: relaxed, GGA-PBE.

DOS at the Fermi energy   1.15 states/eV/atom
DFT total energy   -0.34007 Ry/atom
Energy relative to the lowest polymorph listed for this composition   0.00 kcal/mol of atoms
Crystal system   cubic
Magnetic moment   1.32 Bohr magnetons per cell
Formation energy without anion corrections   0.772 eV/atom

```
data_GeTe3W
_symmetry_space_group_name_H-M 'P m -3 m'
_symmetry_Int_Tables_number 221
_symmetry_space_group_name_Hall '-P 4 2 3'
_cell_length_a 5.318
_cell_length_b 5.318
_cell_length_c 5.318
_cell_angle_alpha 90.00
_cell_angle_beta 90.00
_cell_angle_gamma 90.00
loop_
_atom_site_label
_atom_site_type_symbol
_atom_site_fract_x
_atom_site_fract_y
_atom_site_fract_z
Ge1 Ge 0.000 0.000 0.000
Te1 Te 0.000 0.500 0.500
W1 W 0.500 0.500 0.500
```

=====

Ge4TeW2: relaxed, GGA-PBE.

DOS at the Fermi energy   1.09 states/eV/atom
DFT total energy   -0.39936 Ry/atom
Crystal system   tetragonal
Magnetic moment   0.00 Bohr magnetons per cell
Formation energy without anion corrections   1.355 eV/atom

```
data_Ge4TeW2
_symmetry_space_group_name_H-M 'I 4/m m m'
_symmetry_Int_Tables_number 139
_symmetry_space_group_name_Hall '-I 4 2'
_cell_length_a 5.207
_cell_length_b 5.207
_cell_length_c 13.097
_cell_angle_alpha 90.00
_cell_angle_beta 90.00
_cell_angle_gamma 90.00
loop_
_atom_site_label
_atom_site_type_symbol
_atom_site_fract_x
_atom_site_fract_y
_atom_site_fract_z
Ge1 Ge 0.000 0.000 0.217
Ge2 Ge 0.000 0.500 0.000
Te1 Te 0.000 0.000 0.000
W1 W 0.000 0.000 0.411
```

=====

Ge2Te8W: relaxed, GGA-PBE.

DOS at the Fermi energy   0.22 states/eV/atom
DFT total energy   -0.30841 Ry/atom
Crystal system   monoclinic
Magnetic moment   0.00 Bohr magnetons per cell
Formation energy without anion corrections   0.106 eV/atom

```
data_Ge2Te8W
_symmetry_space_group_name_H-M 'C 1 2/m 1'
_symmetry_Int_Tables_number 12
_symmetry_space_group_name_Hall '-C 2y'
_cell_length_a 12.022
_cell_length_b 11.152
_cell_length_c 6.181
_cell_angle_alpha 90.00
_cell_angle_beta 106.48
_cell_angle_gamma 90.00
loop_
_atom_site_label
_atom_site_type_symbol
_atom_site_fract_x
_atom_site_fract_y
_atom_site_fract_z
Ge1 Ge 0.222 0.000 0.164
Te1 Te 0.046 0.500 0.733
Te2 Te 0.073 0.170 0.243
Te3 Te 0.224 0.000 0.732
W1 W 0.000 0.000 0.500
```

=====

GeTe3W: relaxed, GGA-PBE.

DOS at the Fermi energy   0.71 states/eV/atom
DFT total energy   -0.29232 Ry/atom
Energy relative to the lowest polymorph listed for this composition   14.98 kcal/mol of atoms
Crystal system   cubic
Magnetic moment   2.93 Bohr magnetons per cell
Formation energy without anion corrections   1.422 eV/atom

```
data_GeTe3W
_symmetry_space_group_name_H-M 'P m -3 m'
_symmetry_Int_Tables_number 221
_symmetry_space_group_name_Hall '-P 4 2 3'
_cell_length_a 5.289
_cell_length_b 5.289
_cell_length_c 5.289
_cell_angle_alpha 90.00
_cell_angle_beta 90.00
_cell_angle_gamma 90.00
loop_
_atom_site_label
_atom_site_type_symbol
_atom_site_fract_x
_atom_site_fract_y
_atom_site_fract_z
Ge1 Ge 0.000 0.000 0.000
Te1 Te 0.000 0.000 0.500
W1 W 0.500 0.500 0.500
```

=====

Y2Ge2Te: relaxed, GGA-PBE.

DOS at the Fermi energy   0.34 states/eV/atom
DFT total energy   -0.42589 Ry/atom
Energy relative to the lowest polymorph listed for this composition   2.77 kcal/mol of atoms
Crystal system   tetragonal
Magnetic moment   0.00 Bohr magnetons per cell
Formation energy without anion corrections   -0.734 eV/atom

```
data_Y2Ge2Te
_symmetry_space_group_name_H-M 'P 4/m b m'
_symmetry_Int_Tables_number 127
_symmetry_space_group_name_Hall '-P 4 2ab'
_cell_length_a 7.918
_cell_length_b 7.918
_cell_length_c 3.925
_cell_angle_alpha 90.00
_cell_angle_beta 90.00
_cell_angle_gamma 90.00
loop_
_atom_site_label
_atom_site_type_symbol
_atom_site_fract_x
_atom_site_fract_y
_atom_site_fract_z
Y1 Y 0.189 0.311 0.000
Ge1 Ge 0.109 0.609 0.500
Te1 Te 0.000 0.000 0.500
```

=====

Y2GeTe: relaxed, GGA-PBE.

DOS at the Fermi energy   0.17 states/eV/atom
DFT total energy   -0.46934 Ry/atom
Energy relative to the lowest polymorph listed for this composition   0.00 kcal/mol of atoms
Crystal system   trigonal
Magnetic moment   0.00 Bohr magnetons per cell
Formation energy without anion corrections   -1.214 eV/atom

```
data_Y2GeTe
_symmetry_space_group_name_H-M 'R -3 m'
_symmetry_Int_Tables_number 166
_symmetry_space_group_name_Hall '-R 3 2"'
_cell_length_a 4.2515
_cell_length_b 4.2515
_cell_length_c 21.3072
_cell_angle_alpha 90.00
_cell_angle_beta 90.00
_cell_angle_gamma 120.00
loop_
_atom_site_label
_atom_site_type_symbol
_atom_site_fract_x
_atom_site_fract_y
_atom_site_fract_z
Y1 Y 0.0000 0.0000 0.2400
Ge1 Ge 0.0000 0.0000 0.5000
Te1 Te 0.0000 0.0000 0.0000
```

=====

Y2Ge2Te: relaxed, GGA-PBE.

DOS at the Fermi energy   1.12 states/eV/atom
DFT total energy   -0.41071 Ry/atom
Energy relative to the lowest polymorph listed for this composition   7.53 kcal/mol of atoms
Crystal system   tetragonal
Magnetic moment   0.00 Bohr magnetons per cell
Formation energy without anion corrections   -0.527 eV/atom

```
data_Y2Ge2Te
_symmetry_space_group_name_H-M 'I 4/m m m'
_symmetry_Int_Tables_number 139
_symmetry_space_group_name_Hall '-I 4 2'
_cell_length_a 5.614
_cell_length_b 5.614
_cell_length_c 8.501
_cell_angle_alpha 90.00
_cell_angle_beta 90.00
_cell_angle_gamma 90.00
loop_
_atom_site_label
_atom_site_type_symbol
_atom_site_fract_x
_atom_site_fract_y
_atom_site_fract_z
Y1 Y 0.000 0.500 0.250
Ge1 Ge 0.000 0.000 0.152
Te1 Te 0.000 0.000 0.500
```

=====

YGe3Te: relaxed, GGA-PBE.

DOS at the Fermi energy   1.02 states/eV/atom
DFT total energy   -0.29177 Ry/atom
Energy relative to the lowest polymorph listed for this composition   2.05 kcal/mol of atoms
Crystal system   cubic
Magnetic moment   0.00 Bohr magnetons per cell
Formation energy without anion corrections   0.722 eV/atom

```
data_YGe3Te
_symmetry_space_group_name_H-M 'P m -3 m'
_symmetry_Int_Tables_number 221
_symmetry_space_group_name_Hall '-P 4 2 3'
_cell_length_a 5.475
_cell_length_b 5.475
_cell_length_c 5.475
_cell_angle_alpha 90.00
_cell_angle_beta 90.00
_cell_angle_gamma 90.00
loop_
_atom_site_label
_atom_site_type_symbol
_atom_site_fract_x
_atom_site_fract_y
_atom_site_fract_z
Y1 Y 0.000 0.000 0.000
Ge1 Ge 0.000 0.000 0.500
Te1 Te 0.500 0.500 0.500
```

=====

YGe3Te: relaxed, GGA-PBE.

DOS at the Fermi energy   1.14 states/eV/atom
DFT total energy   -0.29831 Ry/atom
Energy relative to the lowest polymorph listed for this composition   0.00 kcal/mol of atoms
Crystal system   cubic
Magnetic moment   0.00 Bohr magnetons per cell
Formation energy without anion corrections   0.633 eV/atom

```
data_YGe3Te
_symmetry_space_group_name_H-M 'P m -3 m'
_symmetry_Int_Tables_number 221
_symmetry_space_group_name_Hall '-P 4 2 3'
_cell_length_a 5.286
_cell_length_b 5.286
_cell_length_c 5.286
_cell_angle_alpha 90.00
_cell_angle_beta 90.00
_cell_angle_gamma 90.00
loop_
_atom_site_label
_atom_site_type_symbol
_atom_site_fract_x
_atom_site_fract_y
_atom_site_fract_z
Y1 Y 0.000 0.000 0.000
Ge1 Ge 0.000 0.500 0.500
Te1 Te 0.500 0.500 0.500
```